VASP calculation (PBEsol) on an optimized crystal structure of FeOsCl2.

Structure (POSCAR):
```
FeOsCl2
1.0
2.7999 0.0000 0.0000
-1.3999 2.6377 0.0000
0.0000 0.0000 7.9900
Os Fe Cl
1 1 2
Direct
0.5000 0.0000 0.0000
0.5000 0.0000 0.5000
0.0000 0.0000 0.7396
0.0000 0.0000 0.2604
```

Formation energy without anion corrections, kcal/mol of atoms: 17.76
SG: Cmmm
Energy relative to the lowest polymorph listed for this composition, eV per atom: 0.000
Density, g cm⁻³: 8.9